Be2CuW: optimized geometry, PBE-GGA.

Output
* E: -5.938 eV/atom
* offset from the most stable computed form: 181 meV/atom

```
4
Lattice="3.658 0.000 0.000 0.000 2.615 -0.138 0.000 0.885 4.860" Properties=species:S:1:pos:R:3 pbc="T T T"
Be 0.000 1.359 2.460
Cu 1.829 0.875 1.181
Be 0.000 1.277 4.761
W 1.829 2.625 3.542
```